The following is a DFT calculation (PBE) of a geometry-optimized Mg2ZrFe structure.

a b c (Å): 3.196 3.181 8.219
angles (deg): 67.21 90.00 90.00
Each line ends with the local moment (μB).
Fractional coordinates of all 4 atoms:
Fe 0.500 0.763 0.737  0.71
Zr 0.000 0.438 0.562  -0.15
Mg 0.500 0.253 0.246  0.00
Mg 0.000 0.046 0.955  -0.01

Total energy, eV per atom: -5.02
Symmetry: Pmm2 (25)

***

The following is a DFT calculation (PBE) of a geometry-optimized Mg4Ga5 structure.

a b c (Å): 4.280 5.314 8.801
angles (deg): 81.79 75.93 66.25
Fractional coordinates of all 9 atoms:
Ga 0.648 0.600 0.105
Ga 0.352 0.400 0.895
Ga 0.000 0.000 0.000
Mg 0.068 0.240 0.623
Mg 0.312 0.169 0.208
Ga 0.361 0.663 0.614
Mg 0.932 0.760 0.377
Ga 0.639 0.337 0.386
Mg 0.688 0.831 0.792

Total energy, eV per atom: -2.50
Symmetry: C2/m (12)

***

One value per record, in order, for formation energy: 0.0321, -0.1128 eV per atom.
One value per record, in order, for total moment: 0.116, 0.000 μB/atom.
One value per record, in order, for theoretical density: 4.22, 4.17 g/cm3.